Entry 1:
A plane-wave DFT calculation with PBEsol was carried out for an optimized crystal structure of LaRuPb.

Lattice parameters (Å, degrees): 4.208 4.208 5.004 90.00 90.00 120.00
Atoms (fractional coordinates):
La  0.000  0.000  0.000
Ru  0.667  0.333  0.302
Pb  0.333  0.667  0.527

Space group   P3m1, No. 156
Crystal system   trigonal
DFT formation energy   0.005 eV/atom
M_tot   0.00 μB/f.u.



Entry 2:
A plane-wave DFT calculation with PBEsol was carried out for an optimized crystal structure of MgP4.

Lattice parameters (Å, degrees): 4.872 4.872 4.872 109.47 109.47 109.47
Atoms (fractional coordinates):
Mg  0.000  0.000  0.000
P  0.000  0.000  0.500
P  0.000  0.500  0.000
P  0.500  0.000  0.000
P  0.500  0.500  0.500

Space group   Im-3m, No. 229
Crystal system   cubic
DFT formation energy   0.496 eV/atom
M_tot   0.00 μB/f.u.



Entry 3:
A plane-wave DFT calculation with PBEsol was carried out for an optimized crystal structure of Y2BeCd.

Lattice parameters (Å, degrees): 3.457 3.457 7.334 90.00 90.00 90.00
Atoms (fractional coordinates):
Y  0.000  0.000  0.220
Y  0.000  0.000  0.780
Be  0.500  0.500  0.000
Cd  0.500  0.500  0.500

Space group   P4/mmm, No. 123
Offset from the most stable computed form   0.000 eV per atom
Crystal system   tetragonal
DFT formation energy   -0.156 eV/atom
M_tot   0.00 μB/f.u.



Entry 4:
A plane-wave DFT calculation with PBEsol was carried out for an optimized crystal structure of CrSbPb2.

Lattice parameters (Å, degrees): 10.463 10.463 10.463 18.34 18.34 18.34
Atoms (fractional coordinates):
Cr  0.000  0.000  0.000
Sb  0.500  0.500  0.500
Pb  0.260  0.260  0.260
Pb  0.740  0.740  0.740

Space group   R-3m, No. 166
Crystal system   trigonal
Raw formation energy   513 meV per atom
M_tot   3.82 μB/f.u.



Entry 5:
A plane-wave DFT calculation with PBEsol was carried out for an optimized crystal structure of ScSiSnHg2.

Lattice parameters (Å, degrees): 5.299 5.299 4.995 90.00 90.00 90.00
Atoms (fractional coordinates):
Sc  0.000  0.000  0.000
Si  0.000  0.000  0.500
Sn  0.500  0.500  0.500
Hg  0.000  0.500  0.000
Hg  0.500  0.000  0.000

Space group   P4/mmm, No. 123
Crystal system   tetragonal
Raw formation energy   527 meV per atom
M_tot   0.00 μB/f.u.



Entry 6:
A plane-wave DFT calculation with PBEsol was carried out for an optimized crystal structure of Ba2AsOs.

Lattice parameters (Å, degrees): 4.380 6.064 6.064 47.58 90.00 90.00
Atoms (fractional coordinates):
Ba  0.000  0.000  0.000
Ba  0.500  0.292  0.292
As  0.500  0.597  0.597
Os  0.000  0.689  0.689

Space group   Amm2, No. 38
Crystal system   orthorhombic
DFT formation energy   -0.159 eV/atom
M_tot   0.00 μB/f.u.



> Which value of M_tot does entry 4 give?

3.82 μB/f.u.



Repeat the first record exactly.
A plane-wave DFT calculation with PBEsol was carried out for an optimized crystal structure of LaRuPb.

Lattice parameters (Å, degrees): 4.208 4.208 5.004 90.00 90.00 120.00
Atoms (fractional coordinates):
La  0.000  0.000  0.000
Ru  0.667  0.333  0.302
Pb  0.333  0.667  0.527

Space group   P3m1, No. 156
Crystal system   trigonal
DFT formation energy   0.005 eV/atom
M_tot   0.00 μB/f.u.



> Which value of M_tot does entry 5 give?

0.00 μB/f.u.